Entry 1:
# SCAN CaMnSi2, PBEsol geometry
data_CaMnSi2
_symmetry_space_group_name_H-M 'C m m m'
_symmetry_Int_Tables_number 65
_symmetry_space_group_name_Hall '-C 2 2'
_cell_length_a 5.715
_cell_length_b 8.217
_cell_length_c 2.809
_cell_angle_alpha 90.00
_cell_angle_beta 90.00
_cell_angle_gamma 90.00
loop_
_atom_site_label
_atom_site_type_symbol
_atom_site_fract_x
_atom_site_fract_y
_atom_site_fract_z
Ca1 Ca 0.000 0.000 0.000
Mn1 Mn 0.000 0.500 0.000
Si1 Si 0.250 0.250 0.500
# uncorrected formation energy: 54.2 meV/atom
# VASP energy: -11.933 eV/atom

Entry 2:
# SCAN ScTl3Cd, PBEsol geometry
data_ScTl3Cd
_symmetry_space_group_name_H-M 'P m -3 m'
_symmetry_Int_Tables_number 221
_symmetry_space_group_name_Hall '-P 4 2 3'
_cell_length_a 5.383
_cell_length_b 5.383
_cell_length_c 5.383
_cell_angle_alpha 90.00
_cell_angle_beta 90.00
_cell_angle_gamma 90.00
loop_
_atom_site_label
_atom_site_type_symbol
_atom_site_fract_x
_atom_site_fract_y
_atom_site_fract_z
Sc1 Sc 0.000 0.000 0.000
Tl1 Tl 0.000 0.500 0.500
Cd1 Cd 0.500 0.500 0.500
# energy of formation from the pure elements: 2.70 eV/f.u.
# VASP energy: -51.806 eV/atom

Entry 3:
# SCAN NaPmTl2, PBEsol geometry
data_NaPmTl2
_symmetry_space_group_name_H-M 'F m -3 m'
_symmetry_Int_Tables_number 225
_symmetry_space_group_name_Hall '-F 4 2 3'
_cell_length_a 7.492
_cell_length_b 7.492
_cell_length_c 7.492
_cell_angle_alpha 90.00
_cell_angle_beta 90.00
_cell_angle_gamma 90.00
loop_
_atom_site_label
_atom_site_type_symbol
_atom_site_fract_x
_atom_site_fract_y
_atom_site_fract_z
Na1 Na 0.000 0.000 0.000
Pm1 Pm 0.000 0.000 0.500
Tl1 Tl 0.250 0.250 0.250
# energy of formation from the pure elements: -1.80 eV/f.u.
# VASP energy: -48.678 eV/atom

Entry 4:
# SCAN LaBi2Br, PBEsol geometry
data_LaBi2Br
_symmetry_space_group_name_H-M 'F m -3 m'
_symmetry_Int_Tables_number 225
_symmetry_space_group_name_Hall '-F 4 2 3'
_cell_length_a 7.863
_cell_length_b 7.863
_cell_length_c 7.863
_cell_angle_alpha 90.00
_cell_angle_beta 90.00
_cell_angle_gamma 90.00
loop_
_atom_site_label
_atom_site_type_symbol
_atom_site_fract_x
_atom_site_fract_y
_atom_site_fract_z
La1 La 0.000 0.000 0.000
Bi1 Bi 0.250 0.250 0.250
Br1 Br 0.000 0.000 0.500
# uncorrected formation energy: -309.6 meV/atom
# VASP energy: -55.241 eV/atom

Entry 5:
# SCAN BRuPt2C, PBEsol geometry
data_BRuPt2C
_symmetry_space_group_name_H-M 'P 4/m m m'
_symmetry_Int_Tables_number 123
_symmetry_space_group_name_Hall '-P 4 2'
_cell_length_a 4.600
_cell_length_b 4.600
_cell_length_c 2.837
_cell_angle_alpha 90.00
_cell_angle_beta 90.00
_cell_angle_gamma 90.00
loop_
_atom_site_label
_atom_site_type_symbol
_atom_site_fract_x
_atom_site_fract_y
_atom_site_fract_z
B1 B 0.000 0.000 0.000
Ru1 Ru 0.500 0.500 0.000
Pt1 Pt 0.000 0.500 0.500
C1 C 0.000 0.000 0.500
# energy of formation from the pure elements: 2.99 eV/f.u.
# VASP energy: -37.950 eV/atom

Entry 6:
# SCAN LiTl2, PBEsol geometry
data_LiTl2
_symmetry_space_group_name_H-M 'C m c m'
_symmetry_Int_Tables_number 63
_symmetry_space_group_name_Hall '-C 2c 2'
_cell_length_a 3.419
_cell_length_b 15.425
_cell_length_c 5.398
_cell_angle_alpha 90.00
_cell_angle_beta 90.00
_cell_angle_gamma 90.00
loop_
_atom_site_label
_atom_site_type_symbol
_atom_site_fract_x
_atom_site_fract_y
_atom_site_fract_z
Li1 Li 0.000 0.215 0.250
Tl1 Tl 0.000 0.128 0.750
Tl2 Tl 0.000 0.442 0.750
# energy of formation from the pure elements: -0.38 eV/f.u.
# VASP energy: -49.164 eV/atom
# distance to the lowest polymorph of the same formula: 0.061 eV per atom

Entry 7:
# SCAN Tl2MoIrC, PBEsol geometry
data_Tl2MoIrC
_symmetry_space_group_name_H-M 'P 4/m m m'
_symmetry_Int_Tables_number 123
_symmetry_space_group_name_Hall '-P 4 2'
_cell_length_a 5.352
_cell_length_b 5.352
_cell_length_c 4.591
_cell_angle_alpha 90.00
_cell_angle_beta 90.00
_cell_angle_gamma 90.00
loop_
_atom_site_label
_atom_site_type_symbol
_atom_site_fract_x
_atom_site_fract_y
_atom_site_fract_z
Tl1 Tl 0.000 0.500 0.000
Mo1 Mo 0.000 0.000 0.000
Ir1 Ir 0.000 0.000 0.500
C1 C 0.500 0.500 0.500
# energy of formation from the pure elements: 11.26 eV/f.u.
# VASP energy: -49.909 eV/atom

Entry 8:
# SCAN Cr2AgMo, PBEsol geometry
data_Cr2AgMo
_symmetry_space_group_name_H-M 'R -3 m'
_symmetry_Int_Tables_number 166
_symmetry_space_group_name_Hall '-R 3 2"'
_cell_length_a 2.8503
_cell_length_b 2.8503
_cell_length_c 24.7374
_cell_angle_alpha 90.00
_cell_angle_beta 90.00
_cell_angle_gamma 120.00
loop_
_atom_site_label
_atom_site_type_symbol
_atom_site_fract_x
_atom_site_fract_y
_atom_site_fract_z
Cr1 Cr 0.0000 0.0000 0.2420
Ag1 Ag 0.0000 0.0000 0.0000
Mo1 Mo 0.0000 0.0000 0.5000
# energy of formation from the pure elements: 2.13 eV/f.u.
# VASP energy: -25.223 eV/atom
# distance to the lowest polymorph of the same formula: 0.085 eV per atom

Entry 9:
# SCAN Ba3Fe3N5, PBEsol geometry
data_Ba3Fe3N5
_symmetry_space_group_name_H-M 'P -1'
_symmetry_Int_Tables_number 2
_cell_length_a 5.751
_cell_length_b 7.761
_cell_length_c 8.609
_cell_angle_alpha 104.07
_cell_angle_beta 103.81
_cell_angle_gamma 104.04
loop_
_symmetry_equiv_pos_as_xyz
'x,y,z'
'-x,-y,-z'
loop_
_atom_site_label
_atom_site_type_symbol
_atom_site_fract_x
_atom_site_fract_y
_atom_site_fract_z
Ba1 Ba 0.163 0.359 0.389
Ba2 Ba 0.219 0.224 0.741
Ba3 Ba 0.263 0.930 0.114
Fe1 Fe 0.169 0.491 0.096
Fe2 Fe 0.394 0.836 0.486
Fe3 Fe 0.414 0.657 0.821
N1 N 0.171 0.571 0.909
N2 N 0.254 0.272 0.075
N3 N 0.267 0.025 0.444
N4 N 0.316 0.668 0.292
N5 N 0.356 0.736 0.649
# uncorrected formation energy: -500.2 meV/atom
# VASP energy: -20.454 eV/atom

Entry 10:
# SCAN Pr5In4Pt2, PBEsol geometry
data_Pr5In4Pt2
_symmetry_space_group_name_H-M 'P b a m'
_symmetry_Int_Tables_number 55
_cell_length_a 8.157
_cell_length_b 18.493
_cell_length_c 3.776
_cell_angle_alpha 90.00
_cell_angle_beta 90.00
_cell_angle_gamma 90.00
loop_
_symmetry_equiv_pos_as_xyz
'x,y,z'
'-x,-y,-z'
'-x,-y,z'
'x,y,-z'
'x+1/2,-y+1/2,-z'
'-x+1/2,y+1/2,z'
'-x+1/2,y+1/2,-z'
'x+1/2,-y+1/2,z'
loop_
_atom_site_label
_atom_site_type_symbol
_atom_site_fract_x
_atom_site_fract_y
_atom_site_fract_z
Pr1 Pr 0.000 0.000 0.000
Pr2 Pr 0.119 0.417 0.000
Pr3 Pr 0.241 0.222 0.000
In1 In 0.069 0.850 0.500
In2 In 0.212 0.571 0.500
Pt1 Pt 0.020 0.304 0.500
# energy of formation from the pure elements: -10.36 eV/f.u.
# VASP energy: -45.538 eV/atom

Entry 11:
# SCAN HoBiPd, PBEsol geometry
data_HoBiPd
_symmetry_space_group_name_H-M 'F -4 3 m'
_symmetry_Int_Tables_number 216
_symmetry_space_group_name_Hall 'F -4 2 3'
_cell_length_a 6.598
_cell_length_b 6.598
_cell_length_c 6.598
_cell_angle_alpha 90.00
_cell_angle_beta 90.00
_cell_angle_gamma 90.00
loop_
_atom_site_label
_atom_site_type_symbol
_atom_site_fract_x
_atom_site_fract_y
_atom_site_fract_z
Ho1 Ho 0.000 0.000 0.000
Bi1 Bi 0.000 0.000 0.500
Pd1 Pd 0.250 0.250 0.750
# energy of formation from the pure elements: -3.33 eV/f.u.
# VASP energy: -54.559 eV/atom

Entry 12:
# SCAN Ca2SbN, PBEsol geometry
data_Ca2SbN
_symmetry_space_group_name_H-M 'F m -3 m'
_symmetry_Int_Tables_number 225
_symmetry_space_group_name_Hall '-F 4 2 3'
_cell_length_a 7.124
_cell_length_b 7.124
_cell_length_c 7.124
_cell_angle_alpha 90.00
_cell_angle_beta 90.00
_cell_angle_gamma 90.00
loop_
_atom_site_label
_atom_site_type_symbol
_atom_site_fract_x
_atom_site_fract_y
_atom_site_fract_z
Ca1 Ca 0.250 0.250 0.250
Sb1 Sb 0.000 0.000 0.000
N1 N 0.000 0.000 0.500
# uncorrected formation energy: -111.3 meV/atom
# VASP energy: -16.581 eV/atom
# distance to the lowest polymorph of the same formula: 0.450 eV per atom

> Look up the VASP energy of the second one.

-51.806 eV/atom